VASP calculation (PBE) on a geometry-optimized YHgB structure.

```
YHgB
1.0
-2.174 -3.349 -2.064
-3.258 -2.227 2.151
-4.286 0.533 -1.244
B Hg Y
1 1 1
Direct
0.250 0.250 0.250 B
0.000 0.000 0.000 Hg
0.750 0.750 0.750 Y
```

Calculated values
distance to the lowest polymorph of the same formula	621	meV per atom
volume	21.40	Å³/atom
space group	No. 216
density	7.77	Mg/m³
final energy	-3.91	eV/atom

---

VASP calculation (PBE) on a geometry-optimized YHgB structure.

```
YHgB
1.0
0.000 3.063 3.063
3.063 0.000 3.063
3.063 3.063 0.000
B Hg Y
1 1 1
Direct
0.000 0.000 0.000 B
0.250 0.250 0.250 Hg
0.750 0.750 0.750 Y
```

Calculated values
distance to the lowest polymorph of the same formula	0	meV per atom
volume	19.16	Å³/atom
space group	No. 216
density	8.67	Mg/m³
final energy	-4.54	eV/atom